(1)
Density functional theory data (PBE) for a geometry-optimized CrReSb2I structure.

Calculated values
Total DFT energy (no corrections) ... -4.93 eV per atom
Energy above the most stable polymorph in this dataset ... 0.451 eV per atom

Unit cell a=5.1136 b=5.1136 c=5.3800 alpha=90.00 beta=90.00 gamma=90.00
Last column: nearest neighbours and their distance in Å.
Element x y z (fractional)
Cr 0.0000 0.0000 0.0000  4 Sb 2.56, 2 I 2.69
Re 0.5000 0.5000 0.5000  4 I 3.62, 8 Sb 3.71
Sb 0.0000 0.5000 0.0000  2 Cr 2.56
Sb 0.5000 0.0000 0.0000  2 Cr 2.56
I 0.0000 0.0000 0.5000  2 Cr 2.69

(2)
Density functional theory data (PBE) for a geometry-optimized BaVTeW2 structure.

Calculated values
Total DFT energy (no corrections) ... -5.67 eV per atom

Unit cell a=4.9823 b=4.9823 c=6.0444 alpha=90.00 beta=90.00 gamma=90.00
Last column: nearest neighbours and their distance in Å.
Element x y z (fractional)
Ba 0.0000 0.0000 0.0000  2 Te 3.02
V 0.5000 0.5000 0.0000  4 Ba 3.52, 8 W 3.92
Te 0.0000 0.0000 0.5000  4 W 2.49
W 0.0000 0.5000 0.5000  2 Te 2.49
W 0.5000 0.0000 0.5000  2 Te 2.49

(3)
Density functional theory data (PBE) for a geometry-optimized SbAsPI2 structure.

Calculated values
Total DFT energy (no corrections) ... -2.58 eV per atom
Energy above the most stable polymorph in this dataset ... 0.137 eV per atom

Unit cell a=5.6128 b=5.6128 c=5.6889 alpha=90.00 beta=90.00 gamma=90.00
Last column: nearest neighbours and their distance in Å.
Element x y z (fractional)
Sb 0.0000 0.0000 0.0000  2 As 2.84
As 0.0000 0.0000 0.5000  4 I 2.81, 2 Sb 2.84
P 0.5000 0.5000 0.0000  4 Sb 3.97, 8 I 4.00
I 0.0000 0.5000 0.5000  2 As 2.81
I 0.5000 0.0000 0.5000  2 As 2.81

(4)
Density functional theory data (PBE) for a geometry-optimized La2PdRh structure.

Calculated values
Total DFT energy (no corrections) ... -6.28 eV per atom

Unit cell a=7.5904 b=7.5904 c=7.5904 alpha=31.74 beta=31.74 gamma=31.74
Last column: nearest neighbours and their distance in Å.
Element x y z (fractional)
La 0.0000 0.0000 0.0000  3 Rh 2.90, 3 Pd 3.06
La 0.1800 0.1800 0.1800  3 Rh 2.93, 3 Pd 3.11
Pd 0.7548 0.7548 0.7548  6 La 3.06-3.11
Rh 0.5911 0.5911 0.5911  6 La 2.90-2.93

(5)
Density functional theory data (PBE) for a geometry-optimized NaTcNi structure.

Calculated values
Total DFT energy (no corrections) ... -5.40 eV per atom
Energy above the most stable polymorph in this dataset ... 0.183 eV per atom

Unit cell a=6.8178 b=6.8178 c=4.0155 alpha=90.00 beta=90.00 gamma=147.67
Last column: nearest neighbours and their distance in Å.
Element x y z (fractional)
Na 0.0000 0.0000 0.0000  4 Na 2.76
Na 0.5000 0.5000 0.4998  4 Na 2.76
Tc 0.1961 0.8039 0.5010  2 Tc 2.37, 2 Ni 2.50
Tc 0.8039 0.1961 0.5010  2 Tc 2.37, 2 Ni 2.50
Ni 0.3102 0.6898 0.0012  2 Ni 2.47, 4 Tc 2.50-2.76
Ni 0.6898 0.3102 0.0012  2 Ni 2.47, 4 Tc 2.50-2.76

(6)
Density functional theory data (PBE) for a geometry-optimized Cs2YNiCl structure.

Calculated values
Total DFT energy (no corrections) ... -3.02 eV per atom

Unit cell a=7.3132 b=7.3132 c=4.6947 alpha=90.00 beta=90.00 gamma=90.00
Last column: nearest neighbours and their distance in Å.
Element x y z (fractional)
Cs 0.0000 0.5000 0.0000  2 Y 3.66
Cs 0.5000 0.0000 0.0000  2 Y 3.66
Y 0.0000 0.0000 0.0000  2 Ni 2.35
Ni 0.0000 0.0000 0.5000  2 Y 2.35
Cl 0.5000 0.5000 0.5000  8 Cs 4.35, 2 Cl 4.69